## HgMoP2O (PBE with a Hubbard U)

Data for an optimized crystal structure of HgMoP2O.

As for the density of states at the Fermi level: 1.4 states/eV/f.u. Its magnetic moment is 0.0 Bohr magnetons per cell. Its energy above the most stable polymorph in this dataset is 0.00 eV/f.u.

It has space group P4/mmm (No. 123), with a = 4.881 Å, b = 4.881 Å, c = 3.833 Å, α = 90.00°, β = 90.00° and γ = 90.00°. The distinct sites, in fractional coordinates, are Hg at (0.000, 0.000, 0.000), Mo at (0.500, 0.500, 0.500), P at (0.000, 0.500, 0.500) and O at (0.500, 0.500, 0.000).